This record from Alexandria via LeMat-Bulk describes a geometry-optimized Tl2InCuSe4 structure. The functional is PBE.

abc: 6.436 6.442 7.590
angles: 115.08 115.08 90.01
Space group P1 (No. 1)
Inequivalent atoms, fractional coordinates:
1 Tl 0.000 0.000 0.000 (multiplicity 1)
2 Tl 0.251 0.752 0.501 (multiplicity 1)
3 In 0.750 0.251 0.501 (multiplicity 1)
4 Cu 0.500 0.501 0.002 (multiplicity 1)
5 Se 0.146 0.581 0.767 (multiplicity 1)
6 Se 0.419 0.379 0.234 (multiplicity 1)
7 Se 0.623 0.188 0.768 (multiplicity 1)
8 Se 0.814 0.856 0.234 (multiplicity 1)

Output
Raw total energy: -27.86 eV/cell
Total moment: 0.00 μB/f.u.
N(E_F): 5.83 states/eV/cell